DFT (PBE) results for Mg2CdHg6 after structural relaxation.

Properties
ΔH_f (0 K) ... -0.065 eV/atom
DOS(E_F) ... 6.06 states/eV per cell
VASP energy ... -13.01 eV for the cell shown
Crystal system ... monoclinic
Density ... 10.793 Mg/m³

Structure (CIF):
```
data_Mg2CdHg6
_symmetry_space_group_name_H-M 'C 1 2/m 1'
_symmetry_Int_Tables_number 12
_symmetry_space_group_name_Hall '-C 2y'
_cell_length_a 12.5118
_cell_length_b 4.7798
_cell_length_c 9.1253
_cell_angle_alpha 90.00
_cell_angle_beta 129.70
_cell_angle_gamma 90.00
loop_
_atom_site_label
_atom_site_type_symbol
_atom_site_fract_x
_atom_site_fract_y
_atom_site_fract_z
Mg1 Mg 0.1616 0.0000 0.3210
Cd1 Cd 0.0000 0.5000 0.0000
Hg1 Hg 0.0228 0.5000 0.3515
Hg2 Hg 0.1583 0.0000 0.9889
Hg3 Hg 0.1777 0.0000 0.6639
```

---

DFT (PBE) results for Mg8Cd3Hg2 after structural relaxation.

Properties
ΔH_f (0 K) ... -0.081 eV/atom
DOS(E_F) ... 10.53 states/eV per cell
VASP energy ... -34.31 eV for the cell shown
Crystal system ... orthorhombic
Density ... 5.164 Mg/m³
Energy above the lowest structure with this stoichiometry ... 0.000 kcal/mol of atoms

Structure (CIF):
```
data_Mg8Cd3Hg2
_symmetry_space_group_name_H-M 'C m m m'
_symmetry_Int_Tables_number 65
_symmetry_space_group_name_Hall '-C 2 2'
_cell_length_a 7.7375
_cell_length_b 15.7502
_cell_length_c 4.9225
_cell_angle_alpha 90.00
_cell_angle_beta 90.00
_cell_angle_gamma 90.00
loop_
_atom_site_label
_atom_site_type_symbol
_atom_site_fract_x
_atom_site_fract_y
_atom_site_fract_z
Mg1 Mg 0.0000 0.1298 0.0000
Mg2 Mg 0.0000 0.3291 0.0000
Mg3 Mg 0.2097 0.3857 0.5000
Cd1 Cd 0.0000 0.0000 0.5000
Cd2 Cd 0.2012 0.5000 0.0000
Hg1 Hg 0.0000 0.2333 0.5000
```

---

DFT (PBE) results for MgCdHg3 after structural relaxation.

Properties
ΔH_f (0 K) ... -0.063 eV/atom
DOS(E_F) ... 6.36 states/eV per cell
VASP energy ... -14.92 eV for the cell shown
Crystal system ... monoclinic
Density ... 10.300 Mg/m³
Energy above the lowest structure with this stoichiometry ... 0.000 kcal/mol of atoms

Structure (CIF):
```
data_MgCdHg3
_symmetry_space_group_name_H-M 'P 1 21/c 1'
_symmetry_Int_Tables_number 14
_symmetry_space_group_name_Hall '-P 2ybc'
_cell_length_a 8.4233
_cell_length_b 7.9147
_cell_length_c 7.7718
_cell_angle_alpha 90.00
_cell_angle_beta 113.20
_cell_angle_gamma 90.00
loop_
_atom_site_label
_atom_site_type_symbol
_atom_site_fract_x
_atom_site_fract_y
_atom_site_fract_z
Mg1 Mg 0.1330 0.1963 0.0529
Cd1 Cd 0.3786 0.5205 0.2774
Hg1 Hg 0.0392 0.5259 0.8199
Hg2 Hg 0.2524 0.6577 0.5742
Hg3 Hg 0.4081 0.1712 0.4456
```